Crystalline SrAcCe2S4 at its relaxed geometry. Source: the Alexandria database, functional PBE.

Cell: 7.195 4.136 7.271 Å, 90.00 109.08 90.00°
Space group P2/m (No. 10)
Symmetry-distinct sites (fractional):
Sr (0.000, 0.000, 0.000)
Ac (0.500, 0.500, 0.000)
Ce (0.000, 0.500, 0.500)
Ce (0.500, 0.000, 0.500)
S (0.241, 0.000, 0.736)
S (0.251, 0.500, 0.262)

Results
E_form (uncorrected): -2.0001 eV per atom
spin magnetization: 2.28 μB per formula unit

Crystalline CrAs2Se at its relaxed geometry. Source: the Alexandria database, functional PBE.

Cell: 5.778 5.778 11.294 Å, 90.00 90.00 90.00°
Space group I-42d (No. 122)
Symmetry-distinct sites (fractional):
Cr (0.000, 0.000, 0.000)
As (0.193, 0.250, 0.125)
Se (0.000, 0.000, 0.500)

Results
E_form (uncorrected): 0.4083 eV per atom
spin magnetization: 0.00 μB per formula unit

Crystalline Nb2NiTe2 at its relaxed geometry. Source: the Alexandria database, functional PBE.

Cell: 3.877 3.877 15.431 Å, 90.00 90.00 90.00°
Space group I4/mmm (No. 139)
Symmetry-distinct sites (fractional):
Nb (0.000, 0.500, 0.250)
Ni (0.000, 0.000, 0.000)
Te (0.000, 0.000, 0.389)

Results
E_form (uncorrected): 0.3694 eV per atom
energy above the lowest structure with this stoichiometry: 124.8 meV per atom
spin magnetization: 0.60 μB per formula unit

Crystalline CaIrAu2 at its relaxed geometry. Source: the Alexandria database, functional PBE.

Cell: 3.520 3.520 6.303 Å, 90.00 90.00 90.00°
Space group P4/mmm (No. 123)
Symmetry-distinct sites (fractional):
Ca (0.000, 0.000, 0.000)
Ir (0.000, 0.000, 0.500)
Au (0.500, 0.500, 0.280)

Results
final energy: -0.3226 Ry/atom
spin magnetization: 0.00 μB per formula unit

Crystalline Cs2CaMgCl6 at its relaxed geometry. Source: the Alexandria database, functional PBE.

Cell: 10.581 10.581 10.581 Å, 90.00 90.00 90.00°
Space group Fm-3m (No. 225)
Symmetry-distinct sites (fractional):
Cs (0.250, 0.250, 0.250)
Ca (0.000, 0.000, 0.000)
Mg (0.000, 0.000, 0.500)
Cl (0.000, 0.000, 0.259)

Results
E_form (uncorrected): -2.1093 eV per atom
spin magnetization: 0.00 μB per formula unit

Crystalline CeB2Os at its relaxed geometry. Source: the Alexandria database, functional PBE.

Cell: 5.905 5.370 6.519 Å, 90.00 90.00 90.00°
Space group Pnma (No. 62)
Symmetry-distinct sites (fractional):
Ce (0.003, 0.250, 0.159)
B (0.129, 0.587, 0.463)
Os (0.186, 0.250, 0.687)

Results
energy above the lowest structure with this stoichiometry: 0.0 meV per atom
spin magnetization: 0.00 μB per formula unit

Crystalline Sm4YTl3 at its relaxed geometry. Source: the Alexandria database, functional PBE.

Cell: 3.637 9.005 15.199 Å, 90.00 90.00 90.00°
Space group Immm (No. 71)
Symmetry-distinct sites (fractional):
Sm (0.000, 0.199, 0.138)
Y (0.000, 0.500, 0.000)
Tl (0.000, 0.000, 0.317)
Tl (0.000, 0.500, 0.500)

Results
energy above the lowest structure with this stoichiometry: 59.9 meV per atom
spin magnetization: 0.00 μB per formula unit

Crystalline RbAsPd at its relaxed geometry. Source: the Alexandria database, functional PBE.

Cell: 4.520 6.034 7.184 Å, 87.71 72.36 68.10°
Space group P-1 (No. 2)
Symmetry-distinct sites (fractional):
Rb (0.226, 0.214, 0.348)
As (0.054, 0.798, 0.098)
Pd (0.349, 0.389, 0.909)

Results
energy above the lowest structure with this stoichiometry: 0.0 meV per atom
spin magnetization: 0.00 μB per formula unit

Crystalline HRu2RhW at its relaxed geometry. Source: the Alexandria database, functional PBE.

Cell: 3.887 3.887 3.968 Å, 90.00 90.00 90.00°
Space group P4/mmm (No. 123)
Symmetry-distinct sites (fractional):
H (0.000, 0.000, 0.000)
Ru (0.000, 0.500, 0.000)
Rh (0.500, 0.500, 0.500)
W (0.000, 0.000, 0.500)

Results
energy above the lowest structure with this stoichiometry: 77.4 meV per atom
spin magnetization: 0.00 μB per formula unit

Crystalline IrPtAu2 at its relaxed geometry. Source: the Alexandria database, functional PBE.

Cell: 7.356 7.356 5.388 Å, 90.00 90.00 90.00°
Space group I-42d (No. 122)
Symmetry-distinct sites (fractional):
Ir (0.000, 0.000, 0.000)
Pt (0.000, 0.000, 0.500)
Au (0.246, 0.250, 0.125)

Results
energy above the lowest structure with this stoichiometry: 511.7 meV per atom
spin magnetization: 0.86 μB per formula unit

Crystalline TlGe2As2 at its relaxed geometry. Source: the Alexandria database, functional PBE.

Cell: 8.110 8.110 3.504 Å, 90.00 90.00 90.00°
Space group P4/mbm (No. 127)
Symmetry-distinct sites (fractional):
Tl (0.000, 0.000, 0.000)
Ge (0.132, 0.368, 0.000)
As (0.134, 0.634, 0.500)

Results
energy above the lowest structure with this stoichiometry: 103.8 meV per atom
spin magnetization: 0.00 μB per formula unit

Crystalline Ho2Mg6Zr at its relaxed geometry. Source: the Alexandria database, functional PBE.

Cell: 8.9077 8.9077 3.2069 Å, 90.00 90.00 120.00°
Space group P6/mmm (No. 191)
Symmetry-distinct sites (fractional):
Ho (0.3333, 0.6667, 0.0000)
Mg (0.0000, 0.3261, 0.5000)
Zr (0.0000, 0.0000, 0.0000)

Results
final energy: -0.2227 Ry/atom
spin magnetization: 0.00 μB per formula unit